No. 1
First-principles (PBE) data for crystalline YPuSi at its relaxed geometry, as listed in the Alexandria database.

The space group is I4mm (No. 107) and the conventional cell measures 3.1693, 3.1693 and 16.1109 Å, with angles of 90.00, 90.00 and 90.00 degrees. The distinct sites, in fractional coordinates, are Y at (0.0000, 0.0000, 0.0000), Pu at (0.0000, 0.0000, 0.7935) and Si at (0.0000, 0.0000, 0.6160).

Its formation energy (no corrections) is 0.3072 eV per atom. The calculation puts the total magnetic moment at 12.95 μB/cell. The energy above the lowest structure with this stoichiometry is 528 meV per atom.

***

No. 2
First-principles (PBE) data for crystalline Y2PuSi at its relaxed geometry, as listed in the Alexandria database.

The space group is R-3m (No. 166, hexagonal axes) and the conventional cell measures 3.5305, 3.5305 and 31.9190 Å, with angles of 90.00, 90.00 and 120.00 degrees. The distinct sites, in fractional coordinates, are Y at (0.0000, 0.0000, 0.1045), Pu at (0.0000, 0.0000, 0.0000) and Si at (0.0000, 0.0000, 0.5000).

Its formation energy (no corrections) is 0.0894 eV per atom. The calculation puts the total magnetic moment at 19.33 μB/cell.

***

No. 3
First-principles (PBE) data for crystalline Y2PuSi6 at its relaxed geometry, as listed in the Alexandria database.

The space group is P6/mmm (No. 191) and the conventional cell measures 7.0385, 7.0385 and 3.9363 Å, with angles of 90.00, 90.00 and 120.00 degrees. The distinct sites, in fractional coordinates, are Y at (0.3333, 0.6667, 0.0000), Pu at (0.0000, 0.0000, 0.0000) and Si at (0.0000, 0.3330, 0.5000).

Its formation energy (no corrections) is -0.5401 eV per atom. The calculation puts the total magnetic moment at 4.94 μB/cell.

***

No. 4
First-principles (PBE) data for crystalline Y2PuSi4 at its relaxed geometry, as listed in the Alexandria database.

The space group is Immm (No. 71) and the conventional cell measures 3.8774, 4.2288 and 17.5470 Å, with angles of 90.00, 90.00 and 90.00 degrees. The distinct sites, in fractional coordinates, are Y at (0.0000, 0.0000, 0.1834), Pu at (0.0000, 0.5000, 0.5000), Si at (0.0000, 0.0000, 0.3533) and Si at (0.0000, 0.5000, 0.0658).

Its formation energy (no corrections) is -0.6814 eV per atom. The calculation puts the total magnetic moment at 10.47 μB/cell.

***

No. 5
First-principles (PBE) data for crystalline YPuSi at its relaxed geometry, as listed in the Alexandria database.

The space group is P3m1 (No. 156) and the conventional cell measures 4.7846, 4.7846 and 3.6312 Å, with angles of 90.00, 90.00 and 120.00 degrees. The distinct sites, in fractional coordinates, are Y at (0.0000, 0.0000, 0.0000), Pu at (0.6667, 0.3333, 0.4360) and Si at (0.3333, 0.6667, 0.7265).

Its formation energy (no corrections) is -0.1400 eV per atom. The calculation puts the total magnetic moment at 5.96 μB/cell. The energy above the lowest structure with this stoichiometry is 81 meV per atom.

***

No. 6
First-principles (PBE) data for crystalline YPuSi2 at its relaxed geometry, as listed in the Alexandria database.

The space group is R-3m (No. 166, hexagonal axes) and the conventional cell measures 4.7943, 4.7943 and 13.0043 Å, with angles of 90.00, 90.00 and 120.00 degrees. The distinct sites, in fractional coordinates, are Y at (0.0000, 0.0000, 0.0000), Pu at (0.0000, 0.0000, 0.5000) and Si at (0.0000, 0.0000, 0.2471).

Its formation energy (no corrections) is -0.3574 eV per atom. The calculation puts the total magnetic moment at 16.35 μB/cell. The energy above the lowest structure with this stoichiometry is 255 meV per atom.

***

No. 7
First-principles (PBE) data for crystalline YPu2Zn2Si2 at its relaxed geometry, as listed in the Alexandria database.

The space group is R-3m (No. 166, hexagonal axes) and the conventional cell measures 4.0085, 4.0085 and 26.9123 Å, with angles of 90.00, 90.00 and 120.00 degrees. The distinct sites, in fractional coordinates, are Y at (0.0000, 0.0000, 0.0000), Pu at (0.0000, 0.0000, 0.1507), Zn at (0.0000, 0.0000, 0.4068) and Si at (0.0000, 0.0000, 0.2580).

Its formation energy (no corrections) is -0.2715 eV per atom. The calculation puts the total magnetic moment at 0.00 μB/cell.

***

No. 8
First-principles (PBE) data for crystalline PuZn2Si2 at its relaxed geometry, as listed in the Alexandria database.

The space group is I4/mmm (No. 139) and the conventional cell measures 3.5855, 3.5855 and 18.8980 Å, with angles of 90.00, 90.00 and 90.00 degrees. The distinct sites, in fractional coordinates, are Pu at (0.0000, 0.0000, 0.0000), Zn at (0.0000, 0.5000, 0.2500) and Si at (0.0000, 0.0000, 0.1535).

Its formation energy (no corrections) is 0.5736 eV per atom. The calculation puts the total magnetic moment at 12.47 μB/cell. The energy above the lowest structure with this stoichiometry is 844 meV per atom.

***

No. 9
First-principles (PBE) data for crystalline Pu2Zn16Si at its relaxed geometry, as listed in the Alexandria database.

The space group is R3m (No. 160, hexagonal axes) and the conventional cell measures 9.0563, 9.0563 and 13.0801 Å, with angles of 90.00, 90.00 and 120.00 degrees. The distinct sites, in fractional coordinates, are Pu at (0.0000, 0.0000, 0.0000), Pu at (0.0000, 0.0000, 0.3386), Zn at (0.0000, 0.0000, 0.7586), Zn at (0.0000, 0.3036, 0.6680), Zn at (0.0126, 0.5063, 0.8221), Zn at (0.1696, 0.3391, 0.5015), Zn at (0.1714, 0.3427, 0.8465) and Si at (0.0000, 0.0000, 0.5636).

Its formation energy (no corrections) is -0.1254 eV per atom. The calculation puts the total magnetic moment at 33.91 μB/cell.

***

No. 10
First-principles (PBE) data for crystalline Pu2Zn5Si at its relaxed geometry, as listed in the Alexandria database.

The space group is Cmcm (No. 63) and the conventional cell measures 4.4003, 15.7681 and 8.7152 Å, with angles of 90.00, 90.00 and 90.00 degrees. The distinct sites, in fractional coordinates, are Pu at (0.0000, 0.0000, 0.0000), Pu at (0.0000, 0.2028, 0.2500), Zn at (0.0000, 0.1863, 0.6050), Zn at (0.0000, 0.3496, 0.5246), Zn at (0.0000, 0.4042, 0.2500) and Si at (0.0000, 0.4422, 0.7500).

Its formation energy (no corrections) is -0.1918 eV per atom. The calculation puts the total magnetic moment at 1.26 μB/cell.

***

No. 11
First-principles (PBE) data for crystalline Pu2ZnSi2 at its relaxed geometry, as listed in the Alexandria database.

The space group is P4/mnc (No. 128) and the conventional cell measures 6.5488, 6.5488 and 8.1899 Å, with angles of 90.00, 90.00 and 90.00 degrees. The distinct sites, in fractional coordinates, are Pu at (0.1190, 0.2248, 0.0000), Zn at (0.0000, 0.0000, 0.3410) and Si at (0.1238, 0.6238, 0.2500).

Its formation energy (no corrections) is -0.0264 eV per atom. The calculation puts the total magnetic moment at 0.00 μB/cell.

***

No. 12
First-principles (PBE) data for crystalline PuZnSi4 at its relaxed geometry, as listed in the Alexandria database.

The space group is F-43m (No. 216) and the conventional cell measures 7.3143, 7.3143 and 7.3143 Å, with angles of 90.00, 90.00 and 90.00 degrees. The distinct sites, in fractional coordinates, are Pu at (0.0000, 0.0000, 0.0000), Zn at (0.2500, 0.2500, 0.2500) and Si at (0.1233, 0.1233, 0.6233).

Its formation energy (no corrections) is -0.0966 eV per atom. The calculation puts the total magnetic moment at 20.98 μB/cell.

***

No. 13
First-principles (PBE) data for crystalline PuZn2Si2 at its relaxed geometry, as listed in the Alexandria database.

The space group is C2/m (No. 12) and the conventional cell measures 5.6747, 5.6711 and 6.0935 Å, with angles of 90.00, 117.61 and 90.00 degrees. The distinct sites, in fractional coordinates, are Pu at (0.0000, 0.0000, 0.0000), Zn at (0.0000, 0.2498, 0.5000) and Si at (0.1089, 0.5000, 0.2176).

Its formation energy (no corrections) is -0.2700 eV per atom. The calculation puts the total magnetic moment at 11.13 μB/cell. The energy above the lowest structure with this stoichiometry is 0 meV per atom.